A relaxed MgNiBr3 crystal, computed with GGA-PBE.

abc: 4.9429 4.9429 4.9429
angles: 90.00 90.00 90.00
Element x y z (fractional)
Ni  0.0000  0.0000  0.0000
Mg  0.5000  0.5000  0.5000
Br  0.0000  0.5000  0.0000
Br  0.0000  0.0000  0.5000
Br  0.5000  0.0000  0.0000

Calculated values
symmetry: Pm-3m (221)
total magnetic moment: 0.00 μB per cell
calculated density: 4437 kg/m³
E_form (uncorrected): -1.60 eV per formula unit
distance to the lowest polymorph of the same formula: 0.000 eV per atom